# Gd3YFe4O12

Gd3YFe4O12 after structural relaxation (GGA+U, Alexandria).

The structure in POSCAR format:
```
Gd3YFe4O12
1.0
7.7619 -0.0005 0.0003
0.0000 5.3897 0.0004
0.0001 0.0017 5.6694
Gd Fe O Y
3 4 12 1
Direct
0.5000 0.9821 0.0650
0.0000 0.0169 0.9354
0.5000 0.5173 0.5639
0.2494 0.5001 0.9992
0.7508 0.9996 0.5000
0.7506 0.5002 0.9992
0.2492 0.9995 0.5000
0.5000 0.3911 0.9610
0.5000 0.1087 0.4627
0.8089 0.3067 0.6949
0.0000 0.6089 0.0424
0.1923 0.1966 0.1986
0.3057 0.8062 0.8038
0.8077 0.1968 0.1986
0.6935 0.6953 0.3026
0.0000 0.8844 0.5385
0.1910 0.3066 0.6949
0.3064 0.6951 0.3027
0.6944 0.8063 0.8038
0.0000 0.4812 0.4330
```

Computed properties:
The total energy is -9.039 eV per atom.